La2TbAs after structural relaxation, computed with PBE.

The structure belongs to space group R-3m (No. 166, hexagonal axes); the cell edges are 4.0589, 4.0589 and 28.5428 Å and the angles 90.00°, 90.00° and 120.00°. The distinct sites, in fractional coordinates, are La at (0.0000, 0.0000, 0.2315), Tb at (0.0000, 0.0000, 0.0000) and As at (0.0000, 0.0000, 0.5000).

The energy of formation is -0.5687 eV/atom. Its total energy is -5.352 eV/atom. The value obtained for the volume is 33.94 Å³/atom. The distance to the lowest polymorph of the same formula comes out at 0.099 eV/f.u.